No. 1
Material: B2TeP
Method: DFT, GGA-PBE
State: optimized geometry

Unit cell a=5.0981 b=5.0981 c=9.2529 alpha=90.00 beta=90.00 gamma=90.00
With the nearest neighbours (Å) after each atom.
Space group I-42d (No. 122)
Asymmetric unit:
B (0.1781, 0.2500, 0.1250) x8  2 P 1.95
Te (0.0000, 0.0000, 0.5000) x4  4 B 2.38
P (0.0000, 0.0000, 0.0000) x4  4 B 1.95

Values from the calculation:
The raw formation energy is 1.42 eV/f.u. The calculation puts the distance to the lowest polymorph of the same formula at 116 meV/atom.

No. 2
Material: CsHf3F
Method: DFT, GGA-PBE
State: optimized geometry

Unit cell a=5.3413 b=5.3413 c=5.3413 alpha=90.00 beta=90.00 gamma=90.00
With the nearest neighbours (Å) after each atom.
Space group Pm-3m (No. 221)
Asymmetric unit:
Cs (0.0000, 0.0000, 0.0000) x1  6 Hf 2.67
Hf (0.0000, 0.0000, 0.5000) x3  2 Cs 2.67
F (0.5000, 0.5000, 0.5000) x1  12 Hf 3.78

Values from the calculation:
The raw formation energy is 11.24 eV/f.u. The calculation puts the distance to the lowest polymorph of the same formula at 1757 meV/atom.

No. 3
Material: Tb6GeTe3Se2
Method: DFT, GGA-PBE
State: optimized geometry

Unit cell a=7.2977 b=12.6288 c=7.5104 alpha=90.00 beta=108.83 gamma=90.00
With the nearest neighbours (Å) after each atom.
Space group C2/m (No. 12)
Asymmetric unit:
Tb (0.2352, 0.1630, 0.2181) x8  1 Ge 2.84, 2 Se 2.91, 3 Te 3.13-3.18
Tb (0.2479, 0.5000, 0.2194) x4  1 Ge 2.84, 2 Se 2.91, 2 Te 3.14
Ge (0.0000, 0.0000, 0.0000) x2  6 Tb 2.84
Te (0.0000, 0.1688, 0.5000) x4  6 Tb 3.13-3.18
Te (0.0000, 0.5000, 0.5000) x2  6 Tb 3.13-3.19
Se (0.0000, 0.3338, 0.0000) x4  6 Tb 2.91

Values from the calculation:
The raw formation energy is -17.75 eV/f.u.

No. 4
Material: K2RePt
Method: DFT, GGA-PBE
State: optimized geometry

Unit cell a=2.7900 b=5.7587 c=5.0705 alpha=90.00 beta=92.45 gamma=90.00
With the nearest neighbours (Å) after each atom.
Space group P2/m (No. 10)
Asymmetric unit:
K (0.2351, 0.0000, 0.2546) x2  6 K 2.79-3.03
Re (0.5000, 0.5000, 0.0000) x1  2 Re 2.79, 4 Pt 2.84-2.95
Pt (0.0000, 0.5000, 0.5000) x1  2 Pt 2.79, 4 Re 2.84-2.95

Values from the calculation:
Its formation energy is 0.95 eV/atom. The calculation puts the distance to the lowest polymorph of the same formula at 455 meV/atom.

No. 5
Material: Y3Al8Pt3
Method: DFT, GGA-PBE
State: optimized geometry

Unit cell a=15.6960 b=4.3788 c=9.2886 alpha=90.00 beta=125.87 gamma=90.00
With the nearest neighbours (Å) after each atom.
Space group C2/m (No. 12)
Asymmetric unit:
Y (0.0000, 0.0000, 0.0000) x2  4 Pt 3.16, 8 Al 3.17-3.25
Y (0.2130, 0.5000, 0.7071) x4  10 Al 3.01-3.26, 2 Pt 3.15
Al (0.0046, 0.5000, 0.6726) x4  3 Pt 2.54-2.69, 1 Al 2.72
Al (0.1353, 0.0000, 0.4258) x4  1 Pt 2.59, 5 Al 2.65-2.85
Al (0.1514, 0.0000, 0.8675) x4  4 Pt 2.55-2.79
Al (0.1520, 0.5000, 0.2829) x4  1 Pt 2.54, 4 Al 2.65-2.81
Pt (0.0000, 0.0000, 0.5000) x2  8 Al 2.59-2.79
Pt (0.1470, 0.5000, 0.0047) x4  5 Al 2.54-2.65

Values from the calculation:
Its formation energy is -0.87 eV/atom.

No. 6
Material: NaPrSi2O6
Method: DFT, GGA-PBE
State: optimized geometry

Unit cell a=7.4835 b=11.2267 c=6.9376 alpha=90.00 beta=106.07 gamma=90.00
With the nearest neighbours (Å) after each atom.
Space group C2/c (No. 15)
Asymmetric unit:
Na (0.0000, 0.0343, 0.2500) x4  4 O 2.37-2.51
Pr (0.0000, 0.4110, 0.7500) x4  6 O 2.45-2.48
Si (0.1712, 0.3391, 0.3768) x8  3 O 1.63-1.72
O (0.0531, 0.3565, 0.1078) x8  2 Si 1.72-1.84
O (0.2259, 0.0315, 0.5937) x8  1 Si 1.63
O (0.2380, 0.2945, 0.6496) x8  1 Si 1.68

Values from the calculation:
The raw formation energy is -27.25 eV/f.u.

Number 1: electronic total energy -81.9 eV for the cell shown, V 15.031 Å³ per atom. Number 2: electronic total energy -21.3 eV for the cell shown, V 30.476 Å³ per atom. Number 3: electronic total energy -133.1 eV for the cell shown, V 27.298 Å³ per atom. Number 4: electronic total energy -16.9 eV for the cell shown, V 20.348 Å³ per atom. Number 5: electronic total energy -159.1 eV for the cell shown, V 18.475 Å³ per atom. Number 6: electronic total energy -295.8 eV for the cell shown, V 14.002 Å³ per atom.